#P
# Rb4LiSe4O14 GGA-PBE relaxed
data_Rb4LiSe4O14
_symmetry_space_group_name_H-M 'P 1'
_symmetry_Int_Tables_number 1
_symmetry_space_group_name_Hall 'P 1'
_cell_length_a 7.1672
_cell_length_b 7.9674
_cell_length_c 8.5249
_cell_angle_alpha 79.43
_cell_angle_beta 71.23
_cell_angle_gamma 89.52
loop_
_atom_site_label
_atom_site_type_symbol
_atom_site_fract_x
_atom_site_fract_y
_atom_site_fract_z
_atom_site_occupancy
Rb1 Rb 0.0000 0.0000 0.0000 1
Rb2 Rb 0.0448 0.4096 0.5267 1
Rb3 Rb 0.4736 0.1815 0.1918 1
Rb4 Rb 0.5420 0.5829 0.8737 1
Li1 Li 0.2370 0.7972 0.6928 1
Se1 Se 0.0130 0.4650 0.0328 1
Se2 Se 0.5335 0.6535 0.3287 1
Se3 Se 0.5455 0.1201 0.6563 1
Se4 Se 0.9447 0.9155 0.4987 1
O1 O 0.0371 0.9669 0.6401 1
O2 O 0.0973 0.9635 0.3048 1
O3 O 0.1047 0.6580 0.9128 1
O4 O 0.2000 0.3351 0.0240 1
O5 O 0.3587 0.6793 0.5118 1
O6 O 0.4210 0.5355 0.2366 1
O7 O 0.4242 0.9358 0.7631 1
O8 O 0.4285 0.2396 0.5443 1
O9 O 0.6150 0.8446 0.2012 1
O10 O 0.6446 0.2166 0.7674 1
O11 O 0.7572 0.0705 0.4810 1
O12 O 0.8319 0.7246 0.5561 1
O13 O 0.8559 0.3795 0.9555 1
O14 O 0.8992 0.4885 0.2323 1
# - Total magnetic moment: 1.0 Bohr magnetons per cell

#Q
# Rb4LiSe4O14 GGA-PBE relaxed
data_Rb4LiSe4O14
_symmetry_space_group_name_H-M 'C 1 2 1'
_symmetry_Int_Tables_number 5
_symmetry_space_group_name_Hall 'C 2y'
_cell_length_a 14.1798
_cell_length_b 8.3158
_cell_length_c 7.8578
_cell_angle_alpha 90.00
_cell_angle_beta 95.03
_cell_angle_gamma 90.00
loop_
_atom_site_label
_atom_site_type_symbol
_atom_site_fract_x
_atom_site_fract_y
_atom_site_fract_z
_atom_site_occupancy
Rb1 Rb 0.1520 0.0000 0.4176 1
Rb2 Rb 0.1568 0.3028 0.8565 1
Li1 Li 0.0000 0.5505 0.0000 1
Se1 Se 0.1007 0.4990 0.3688 1
Se2 Se 0.1016 0.8720 0.8989 1
O1 O 0.0000 0.5742 0.5000 1
O2 O 0.0000 0.7839 0.0000 1
O3 O 0.0508 0.4195 0.1816 1
O4 O 0.0556 0.9790 0.7355 1
O5 O 0.1532 0.7015 0.8576 1
O6 O 0.1551 0.3501 0.4832 1
O7 O 0.1598 0.9854 0.0448 1
O8 O 0.1807 0.6414 0.3283 1
# - Total magnetic moment: 2.0 Bohr magnetons per cell

#R
# Rb4LiSe4O14 GGA-PBE relaxed
data_Rb4LiSe4O14
_symmetry_space_group_name_H-M 'P 1'
_symmetry_Int_Tables_number 1
_symmetry_space_group_name_Hall 'P 1'
_cell_length_a 7.8096
_cell_length_b 8.0342
_cell_length_c 8.2377
_cell_angle_alpha 80.69
_cell_angle_beta 64.17
_cell_angle_gamma 85.55
loop_
_atom_site_label
_atom_site_type_symbol
_atom_site_fract_x
_atom_site_fract_y
_atom_site_fract_z
_atom_site_occupancy
Rb1 Rb 0.0000 0.0000 0.0000 1
Rb2 Rb 0.0014 0.4299 0.5012 1
Rb3 Rb 0.4956 0.8123 0.6138 1
Rb4 Rb 0.5892 0.3043 0.2629 1
Li1 Li 0.8823 0.7873 0.7714 1
Se1 Se 0.0261 0.9634 0.4380 1
Se2 Se 0.0533 0.5006 0.9654 1
Se3 Se 0.4715 0.3053 0.7848 1
Se4 Se 0.4754 0.8005 0.1576 1
O1 O 0.0344 0.0211 0.6253 1
O2 O 0.1006 0.6803 0.8207 1
O3 O 0.2771 0.4191 0.9637 1
O4 O 0.2856 0.9006 0.1327 1
O5 O 0.3682 0.1655 0.7309 1
O6 O 0.3984 0.6251 0.3060 1
O7 O 0.5762 0.9276 0.2328 1
O8 O 0.5785 0.4532 0.6106 1
O9 O 0.5925 0.2353 0.9017 1
O10 O 0.6275 0.7561 0.9504 1
O11 O 0.8962 0.7825 0.5257 1
O12 O 0.9064 0.1113 0.3572 1
O13 O 0.9324 0.5308 0.1786 1
O14 O 0.9615 0.3599 0.9013 1
# - Total magnetic moment: 1.0 Bohr magnetons per cell

#S
# Rb4LiSe4O14 GGA-PBE relaxed
data_Rb4LiSe4O14
_symmetry_space_group_name_H-M 'P -1'
_symmetry_Int_Tables_number 2
_symmetry_space_group_name_Hall '-P 1'
_cell_length_a 7.7967
_cell_length_b 8.0110
_cell_length_c 8.1877
_cell_angle_alpha 68.52
_cell_angle_beta 87.14
_cell_angle_gamma 84.57
loop_
_atom_site_label
_atom_site_type_symbol
_atom_site_fract_x
_atom_site_fract_y
_atom_site_fract_z
_atom_site_occupancy
Rb1 Rb 0.1588 0.0734 0.2315 1
Rb2 Rb 0.3215 0.3374 0.6320 1
Li1 Li 0.5000 0.5000 0.0000 1
Se1 Se 0.1517 0.6195 0.2008 1
Se2 Se 0.3389 0.8197 0.7701 1
O1 O 0.0136 0.2265 0.8682 1
O2 O 0.0928 0.4149 0.3152 1
O3 O 0.2000 0.9362 0.6115 1
O4 O 0.2563 0.6014 0.0107 1
O5 O 0.2934 0.6842 0.3062 1
O6 O 0.4564 0.9537 0.8256 1
O7 O 0.4671 0.6561 0.7314 1
# - Total magnetic moment: 1.1 Bohr magnetons per cell

Stability verdict: #P, ahead by 1.2 kJ/mol of atoms

#P
# Rb4LiSe4O14 GGA-PBE relaxed
data_Rb4LiSe4O14
_symmetry_space_group_name_H-M 'P 1'
_symmetry_Int_Tables_number 1
_symmetry_space_group_name_Hall 'P 1'
_cell_length_a 7.8993
_cell_length_b 7.9008
_cell_length_c 7.9619
_cell_angle_alpha 66.36
_cell_angle_beta 88.07
_cell_angle_gamma 87.77
loop_
_atom_site_label
_atom_site_type_symbol
_atom_site_fract_x
_atom_site_fract_y
_atom_site_fract_z
_atom_site_occupancy
Rb1 Rb 0.0000 0.0000 0.0000 1
Rb2 Rb 0.1794 0.4311 0.3058 1
Rb3 Rb 0.5200 0.0720 0.2482 1
Rb4 Rb 0.7028 0.4563 0.6011 1
Li1 Li 0.2604 0.8548 0.5980 1
Se1 Se 0.1740 0.4789 0.7798 1
Se2 Se 0.5018 0.9100 0.8705 1
Se3 Se 0.7094 0.5233 0.0914 1
Se4 Se 0.9563 0.9764 0.4839 1
O1 O 0.0191 0.8426 0.7010 1
O2 O 0.0673 0.3612 0.6833 1
O3 O 0.1445 0.0191 0.3663 1
O4 O 0.2600 0.3324 0.9779 1
O5 O 0.3270 0.6010 0.6292 1
O6 O 0.3519 0.8427 0.0308 1
O7 O 0.4320 0.9885 0.6580 1
O8 O 0.5530 0.4549 0.2443 1
O9 O 0.6181 0.7025 0.8790 1
O10 O 0.6372 0.0476 0.9014 1
O11 O 0.7702 0.3729 0.0047 1
O12 O 0.8325 0.8617 0.4022 1
O13 O 0.8604 0.6226 0.1534 1
O14 O 0.8637 0.1737 0.4708 1
# - Total magnetic moment: 1.0 Bohr magnetons per cell

#Q
# Rb4LiSe4O14 GGA-PBE relaxed
data_Rb4LiSe4O14
_symmetry_space_group_name_H-M 'P 1'
_symmetry_Int_Tables_number 1
_symmetry_space_group_name_Hall 'P 1'
_cell_length_a 7.9124
_cell_length_b 8.0537
_cell_length_c 8.0991
_cell_angle_alpha 91.86
_cell_angle_beta 90.13
_cell_angle_gamma 118.85
loop_
_atom_site_label
_atom_site_type_symbol
_atom_site_fract_x
_atom_site_fract_y
_atom_site_fract_z
_atom_site_occupancy
Rb1 Rb 0.0000 0.0000 0.0000 1
Rb2 Rb 0.0437 0.7475 0.4398 1
Rb3 Rb 0.4367 0.4393 0.2394 1
Rb4 Rb 0.4961 0.8213 0.7202 1
Li1 Li 0.1117 0.3383 0.7550 1
Se1 Se 0.4986 0.3295 0.7128 1
Se2 Se 0.5085 0.9509 0.2113 1
Se3 Se 0.9026 0.5164 0.9365 1
Se4 Se 0.9424 0.1832 0.4681 1
O1 O 0.0290 0.4046 0.9635 1
O2 O 0.0557 0.1040 0.3382 1
O3 O 0.1001 0.4145 0.5243 1
O4 O 0.3256 0.9779 0.1397 1
O5 O 0.3643 0.3788 0.8434 1
O6 O 0.3880 0.1109 0.6376 1
O7 O 0.4380 0.7998 0.3658 1
O8 O 0.5993 0.8689 0.0634 1
O9 O 0.6084 0.5002 0.5824 1
O10 O 0.6792 0.1715 0.2834 1
O11 O 0.6827 0.3162 0.8417 1
O12 O 0.8348 0.5845 0.1056 1
O13 O 0.9133 0.0742 0.6534 1
O14 O 0.9976 0.6834 0.8008 1
# - Total magnetic moment: 1.0 Bohr magnetons per cell

Stability verdict: #P, ahead by 0.8 kJ/mol of atoms

#P
# Rb2LiTc2O8 GGA-PBE relaxed
data_Rb2LiTc2O8
_symmetry_space_group_name_H-M 'P 1'
_symmetry_Int_Tables_number 1
_symmetry_space_group_name_Hall 'P 1'
_cell_length_a 5.7581
_cell_length_b 6.4675
_cell_length_c 7.8300
_cell_angle_alpha 108.88
_cell_angle_beta 105.56
_cell_angle_gamma 102.20
loop_
_atom_site_label
_atom_site_type_symbol
_atom_site_fract_x
_atom_site_fract_y
_atom_site_fract_z
_atom_site_occupancy
Rb1 Rb 0.0000 0.0000 0.0000 1
Rb2 Rb 0.2120 0.8803 0.5432 1
Li1 Li 0.3915 0.4194 0.4305 1
Tc1 Tc 0.4787 0.5582 0.0595 1
Tc2 Tc 0.8058 0.2944 0.5325 1
O1 O 0.0586 0.3331 0.4425 1
O2 O 0.3340 0.6829 0.9116 1
O3 O 0.3372 0.5461 0.2323 1
O4 O 0.4456 0.2747 0.9171 1
O5 O 0.4956 0.1359 0.3483 1
O6 O 0.7594 0.5669 0.6321 1
O7 O 0.8026 0.7217 0.1805 1
O8 O 0.8527 0.1403 0.6802 1
# - Total magnetic moment: 1.1 Bohr magnetons per cell

#Q
# Rb2LiTc2O8 GGA-PBE relaxed
data_Rb2LiTc2O8
_symmetry_space_group_name_H-M 'C 1 2 1'
_symmetry_Int_Tables_number 5
_symmetry_space_group_name_Hall 'C 2y'
_cell_length_a 8.4550
_cell_length_b 13.3129
_cell_length_c 5.6597
_cell_angle_alpha 90.00
_cell_angle_beta 130.46
_cell_angle_gamma 90.00
loop_
_atom_site_label
_atom_site_type_symbol
_atom_site_fract_x
_atom_site_fract_y
_atom_site_fract_z
_atom_site_occupancy
Rb1 Rb 0.0000 0.0000 0.0000 1
Rb2 Rb 0.0000 0.2499 0.5000 1
Li1 Li 0.0000 0.5415 0.5000 1
Tc1 Tc 0.0000 0.5100 0.0000 1
Tc2 Tc 0.0000 0.7530 0.5000 1
O1 O 0.1103 0.4434 0.8623 1
O2 O 0.1136 0.8270 0.3905 1
O3 O 0.1911 0.6726 0.8068 1
O4 O 0.2014 0.5792 0.3336 1
# - Total magnetic moment: 2.2 Bohr magnetons per cell

Stability verdict: #P, ahead by 1.1 kJ/mol of atoms